This record from Alexandria describes an optimized crystal structure of MgCr2GaF. The functional is GGA+U.

Structure (extended XYZ):
```
5
Lattice="4.415 0.000 0.000 0.000 4.415 0.000 0.000 0.000 4.950" Properties=species:S:1:pos:R:3 pbc="T T T"
Mg 0.000 0.000 0.000
Cr 0.000 2.207 2.475
Cr 2.207 0.000 2.475
Ga 2.207 2.207 0.000
F 2.207 2.207 2.475
```

## Properties
DOS at the Fermi energy in states/eV/f.u.: 2.9
Density in g cm⁻³: 3.74
Energy in eV for the cell shown: -22.4

---

This record from Alexandria describes an optimized crystal structure of MnCr2GaF. The functional is GGA+U.

Structure (extended XYZ):
```
5
Lattice="5.208 0.000 0.000 0.000 5.208 0.000 0.000 0.000 4.175" Properties=species:S:1:pos:R:3 pbc="T T T"
Mn 0.000 0.000 0.000
Cr 0.000 2.604 2.087
Cr 2.604 0.000 2.087
Ga 2.604 2.604 2.087
F 2.604 2.604 0.000
```

## Properties
DOS at the Fermi energy in states/eV/f.u.: 2.5
Density in g cm⁻³: 3.63
Energy in eV for the cell shown: -25.7

---

This record from Alexandria describes an optimized crystal structure of NaCr2GaF6. The functional is GGA+U.

Structure (extended XYZ):
```
10
Lattice="5.792 0.000 0.000 -2.643 5.194 0.000 -0.326 -3.309 4.789" Properties=species:S:1:pos:R:3 pbc="T T T"
Na 0.000 0.000 0.000
Cr -0.169 -0.087 3.512
Cr 2.933 1.551 1.115
Ga 0.136 3.307 2.403
F -1.145 0.858 1.977
F 1.211 2.108 0.116
F 1.450 0.110 2.317
F 0.354 2.030 4.488
F 2.660 2.890 2.605
F 3.900 -0.177 4.575
```

## Properties
DOS at the Fermi energy in states/eV/f.u.: 0.0
Density in g cm⁻³: 3.58
Energy in eV for the cell shown: -54.4

---

This record from Alexandria describes an optimized crystal structure of CrGaO2F. The functional is GGA+U.

Structure (extended XYZ):
```
5
Lattice="3.915 0.000 0.000 0.000 3.915 0.000 0.000 0.000 3.865" Properties=species:S:1:pos:R:3 pbc="T T T"
Cr 0.000 0.000 0.000
Ga 1.957 1.957 1.932
O 0.000 1.957 0.000
O 1.957 0.000 0.000
F 0.000 0.000 1.932
```

## Properties
DOS at the Fermi energy in states/eV/f.u.: 1.9
Density in g cm⁻³: 4.84
Energy in eV for the cell shown: -29.4

---

This record from Alexandria describes an optimized crystal structure of CrGaO2F. The functional is GGA+U.

Structure (extended XYZ):
```
5
Lattice="3.853 0.000 0.000 0.000 3.853 0.000 0.000 0.000 3.832" Properties=species:S:1:pos:R:3 pbc="T T T"
Cr 0.000 0.000 0.000
Ga 1.927 1.927 1.916
O 0.000 1.927 1.916
O 1.927 0.000 1.916
F 1.927 1.927 0.000
```

## Properties
DOS at the Fermi energy in states/eV/f.u.: 1.3
Density in g cm⁻³: 5.04
Energy in eV for the cell shown: -29.3

---

This record from Alexandria describes an optimized crystal structure of CrGaPbF2. The functional is GGA+U.

Structure (extended XYZ):
```
5
Lattice="4.224 0.000 0.000 0.000 4.224 0.000 0.000 0.000 5.634" Properties=species:S:1:pos:R:3 pbc="T T T"
Cr 0.000 0.000 0.000
Ga 0.000 0.000 2.817
Pb 2.112 2.112 0.000
F 0.000 2.112 2.817
F 2.112 0.000 2.817
```

## Properties
DOS at the Fermi energy in states/eV/f.u.: 1.8
Density in g cm⁻³: 6.06
Energy in eV for the cell shown: -22.2

---

This record from Alexandria describes an optimized crystal structure of CrGaPtF2. The functional is GGA+U.

Structure (extended XYZ):
```
5
Lattice="3.852 0.000 0.000 0.000 3.852 0.000 0.000 0.000 5.407" Properties=species:S:1:pos:R:3 pbc="T T T"
Cr 0.000 0.000 0.000
Ga 1.926 1.926 2.704
Pt 1.926 1.926 0.000
F 0.000 1.926 2.704
F 1.926 0.000 2.704
```

## Properties
DOS at the Fermi energy in states/eV/f.u.: 4.4
Density in g cm⁻³: 7.34
Energy in eV for the cell shown: -22.8

---

This record from Alexandria describes an optimized crystal structure of RbCrGaF6. The functional is GGA+U.

Structure (extended XYZ):
```
18
Lattice="-3.629 3.811 5.274 3.629 -3.811 5.274 3.629 3.811 -5.274" Properties=species:S:1:pos:R:3 pbc="T T T"
Rb 0.000 1.905 1.368
Rb 3.629 1.905 3.906
Cr 1.815 1.905 -2.637
Cr 1.815 -1.905 2.637
Ga 3.629 0.000 0.000
Ga 0.000 0.000 5.274
F 3.629 -1.905 3.497
F 2.273 -0.202 1.320
F 4.986 -0.202 1.320
F 3.629 1.905 0.405
F 2.273 3.609 -1.320
F 1.356 -0.202 3.954
F 2.273 4.012 1.320
F 1.356 0.202 6.594
F 0.000 1.905 4.869
F -1.356 4.012 3.954
F 1.356 4.012 3.954
F 0.000 5.716 1.776
```

## Properties
DOS at the Fermi energy in states/eV/f.u.: 0.0
Density in g cm⁻³: 3.66
Energy in eV for the cell shown: -94.0

---

Q: The lowest energy belongs to which entry?
A: RbCrGaF6